# Os2RuRh | Alexandria | meta-GGA SCAN | PBEsol geometry
# V = 164 Å³/cell
# ΔE to the lowest computed polymorph = 7 meV per atom
# M_tot = 0.0 μB per formula unit
# Energy relative to the elements = 0.41 eV per formula unit
data_Os2RuRh
_cell_length_a 2.6875
_cell_length_b 2.6875
_cell_length_c 26.2848
_cell_angle_alpha 90.00
_cell_angle_beta 90.00
_cell_angle_gamma 120.00
_space_group_name_H-M_alt 'R 3 m'
_space_group_IT_number 160
_space_group_name_Hall 'R 3 -2"'
loop_
_atom_site_label
_atom_site_fract_x
_atom_site_fract_y
_atom_site_fract_z
Os1 0.0000 0.0000 0.0000
Os2 0.0000 0.0000 0.2502
Ru1 0.0000 0.0000 0.7490
Rh1 0.0000 0.0000 0.4994